4
Lattice="1.575 -2.687 0.000 1.575 2.687 0.000 0.000 0.000 7.881" Properties=species:S:1:pos:R:3 comment="CoWSe2 | Alexandria via LeMat-Bulk | PBE | optimized geometry" energy_ev_per_atom=-6.09 magnetic_moment_mub_per_fu=1.76 e_above_lowest_polymorph_mev_per_atom=787.0 formation_energy_uncorrected_ev_per_atom=0.6697 pbc="T T T"
Co 0.000 0.000 0.000
W 0.000 0.000 3.940
Se 1.575 0.000 1.884
Se 1.575 0.000 5.996

4
Lattice="-1.855 1.855 4.501 1.855 -1.855 4.501 1.855 1.855 -4.501" Properties=species:S:1:pos:R:3 comment="CoWSe2 | Alexandria via LeMat-Bulk | PBE | optimized geometry" energy_ev_per_atom=-6.09 magnetic_moment_mub_per_fu=1.30 e_above_lowest_polymorph_mev_per_atom=789.0 formation_energy_uncorrected_ev_per_atom=0.6717 pbc="T T T"
Co 0.000 0.000 0.000
W 0.000 1.855 2.250
Se 1.855 0.000 2.250
Se 0.000 0.000 4.501

6
Lattice="0.000 3.855 3.855 3.855 0.000 3.855 3.855 3.855 0.000" Properties=species:S:1:pos:R:3 comment="CoWSe4 | Alexandria via LeMat-Bulk | PBE | optimized geometry" energy_ev_per_atom=-4.12 magnetic_moment_mub_per_fu=3.83 formation_energy_uncorrected_ev_per_atom=1.5455 pbc="T T T"
Co 0.000 0.000 0.000
W 1.927 1.927 1.927
Se 4.820 2.889 2.889
Se 2.889 4.820 2.889
Se 2.889 2.889 4.820
Se 4.820 4.820 4.820

4
Lattice="3.738 0.000 0.000 0.000 3.506 0.000 -0.906 0.000 6.711" Properties=species:S:1:pos:R:3 comment="CoWSe2 | Alexandria via LeMat-Bulk | PBE | optimized geometry" energy_ev_per_atom=-6.84 magnetic_moment_mub_per_fu=0.18 e_above_lowest_polymorph_mev_per_atom=33.7 formation_energy_uncorrected_ev_per_atom=-0.0836 pbc="T T T"
Co 0.000 0.000 0.000
W 2.010 1.753 0.248
Se -0.621 1.753 5.167
Se 1.316 0.000 1.942

5
Lattice="4.241 0.000 0.000 0.000 4.241 0.000 0.000 0.000 4.241" Properties=species:S:1:pos:R:3 comment="Co3WSe | Alexandria via LeMat-Bulk | PBE | optimized geometry" energy_ev_per_atom=-6.40 magnetic_moment_mub_per_fu=4.98 e_above_lowest_polymorph_mev_per_atom=0.0 formation_energy_uncorrected_ev_per_atom=1.1509 pbc="T T T"
Co 0.000 0.000 2.120
Co 0.000 2.120 0.000
Co 2.120 0.000 0.000
W 2.120 2.120 2.120
Se 0.000 0.000 0.000

4
Lattice="1.549 0.894 9.410 -1.549 0.894 9.410 0.000 -1.789 9.410" Properties=species:S:1:pos:R:3 comment="CoWSe2 | Alexandria via LeMat-Bulk | PBE | optimized geometry" energy_ev_per_atom=-6.71 magnetic_moment_mub_per_fu=0.56 e_above_lowest_polymorph_mev_per_atom=163.3 formation_energy_uncorrected_ev_per_atom=0.0459 pbc="T T T"
Co 0.000 0.000 0.000
W 0.000 0.000 20.989
Se 0.000 0.000 7.994
Se 0.000 0.000 13.350

4
Lattice="1.580 0.912 7.349 -1.580 0.912 7.349 0.000 -1.825 7.349" Properties=species:S:1:pos:R:3 comment="CoWSe2 | Alexandria via LeMat-Bulk | PBE | optimized geometry" energy_ev_per_atom=-6.52 magnetic_moment_mub_per_fu=1.31 e_above_lowest_polymorph_mev_per_atom=354.5 formation_energy_uncorrected_ev_per_atom=0.2372 pbc="T T T"
Co 0.000 0.000 0.000
W 0.000 0.000 11.024
Se 0.000 0.000 5.553
Se 0.000 0.000 16.495

4
Lattice="0.000 3.159 3.159 3.159 0.000 3.159 3.159 3.159 0.000" Properties=species:S:1:pos:R:3 comment="CoWSe2 | Alexandria via LeMat-Bulk | PBE | optimized geometry" energy_ev_per_atom=-5.91 magnetic_moment_mub_per_fu=0.00 e_above_lowest_polymorph_mev_per_atom=966.9 formation_energy_uncorrected_ev_per_atom=0.8495 pbc="T T T"
Co 0.000 0.000 0.000
W 1.580 1.580 1.580
Se 3.159 3.159 3.159
Se 4.739 4.739 4.739